(1)
DFT (PBE-GGA) results for ZrAgP2 after structural relaxation.

The structure belongs to space group P4/mmm (No. 123); the cell edges are 3.477, 3.477 and 6.041 Å and the angles 90.00°, 90.00° and 90.00°. The asymmetric unit holds Zr at (0.000, 0.000, 0.000), Ag at (0.000, 0.000, 0.500) and P at (0.500, 0.500, 0.199).

The spin magnetization comes out at 0.00 Bohr magnetons per cell. The energy comes out at -23.59 eV/f.u. The calculation puts the excess energy over the best structure of this formula in the dataset at 119 meV per atom.


(2)
DFT (PBE-GGA) results for CaLa12Ho6 after structural relaxation.

The structure belongs to space group R-3m (No. 166, hexagonal axes); the cell edges are 16.4187, 16.4187 and 8.7593 Å and the angles 90.00°, 90.00° and 120.00°. The asymmetric unit holds Ca at (0.0000, 0.0000, 0.0000), La at (0.0000, 0.3769, 0.5000), La at (0.0945, 0.5472, 0.8337) and Ho at (0.0859, 0.1718, 0.6320).

The spin magnetization comes out at 0.00 Bohr magnetons per cell. The energy comes out at -83.32 eV/f.u.


(3)
DFT (PBE-GGA) results for LiHoAl after structural relaxation.

The structure belongs to space group I4mm (No. 107); the cell edges are 3.407, 3.407 and 11.078 Å and the angles 90.00°, 90.00° and 90.00°. The asymmetric unit holds Li at (0.000, 0.000, 0.000), Ho at (0.000, 0.000, 0.299) and Al at (0.000, 0.000, 0.620).

The spin magnetization comes out at 0.15 Bohr magnetons per cell. The energy comes out at -10.53 eV/f.u. The calculation puts the excess energy over the best structure of this formula in the dataset at 106 meV per atom.


(4)
DFT (PBE-GGA) results for TmGaCoRu after structural relaxation.

The structure belongs to space group F-43m (No. 216); the cell edges are 6.279, 6.279 and 6.279 Å and the angles 90.00°, 90.00° and 90.00°. The asymmetric unit holds Tm at (0.000, 0.000, 0.000), Ga at (0.000, 0.000, 0.500), Co at (0.250, 0.250, 0.750) and Ru at (0.250, 0.250, 0.250).

The spin magnetization comes out at 0.00 Bohr magnetons per cell. The energy comes out at -25.06 eV/f.u.


(5)
DFT (PBE-GGA) results for Co2Os2Au after structural relaxation.

The structure belongs to space group P4/mbm (No. 127); the cell edges are 7.263, 7.263 and 2.655 Å and the angles 90.00°, 90.00° and 90.00°. The asymmetric unit holds Co at (0.164, 0.336, 0.000), Os at (0.127, 0.627, 0.500) and Au at (0.000, 0.000, 0.000).

The spin magnetization comes out at 2.89 Bohr magnetons per cell. The energy comes out at -37.77 eV/f.u. The calculation puts the excess energy over the best structure of this formula in the dataset at 0 meV per atom.


(6)
DFT (PBE-GGA) results for Mn3GaNi6 after structural relaxation.

The structure belongs to space group P2_1/m (No. 11); the cell edges are 6.839, 4.188 and 8.984 Å and the angles 90.00°, 111.69° and 90.00°. The asymmetric unit holds Mn at (0.046, 0.250, 0.382), Mn at (0.139, 0.750, 0.214), Mn at (0.274, 0.250, 0.987), Ga at (0.454, 0.250, 0.585), Ni at (0.041, 0.750, 0.920), Ni at (0.165, 0.250, 0.684), Ni at (0.244, 0.750, 0.520), Ni at (0.339, 0.750, 0.824), Ni at (0.362, 0.250, 0.282) and Ni at (0.442, 0.750, 0.127).

The spin magnetization comes out at 26.23 Bohr magnetons per cell. The energy comes out at -66.43 eV/f.u.


(7)
DFT (PBE-GGA) results for ThAlTc2 after structural relaxation.

The structure belongs to space group R-3m (No. 166, hexagonal axes); the cell edges are 3.4115, 3.4115 and 22.7603 Å and the angles 90.00°, 90.00° and 120.00°. The asymmetric unit holds Th at (0.0000, 0.0000, 0.0000), Al at (0.0000, 0.0000, 0.5000) and Tc at (0.0000, 0.0000, 0.2435).

The spin magnetization comes out at 0.00 Bohr magnetons per cell. The energy comes out at -30.87 eV/f.u. The calculation puts the excess energy over the best structure of this formula in the dataset at 411 meV per atom.


(8)
DFT (PBE-GGA) results for PmNdAgSn after structural relaxation.

The structure belongs to space group F-43m (No. 216); the cell edges are 7.616, 7.616 and 7.616 Å and the angles 90.00°, 90.00° and 90.00°. The asymmetric unit holds Pm at (0.000, 0.000, 0.000), Nd at (0.000, 0.000, 0.500), Ag at (0.250, 0.250, 0.250) and Sn at (0.250, 0.250, 0.750).

The spin magnetization comes out at 1.47 Bohr magnetons per cell. The energy comes out at -18.47 eV/f.u.


no.,energy relative to the elements (kJ/mol of atoms)
1,-33.1
2,26.8
3,-9.4
4,-28.5
5,42.0
6,-11.7
7,24.7
8,-50.5